1.
NaNF: relaxed, PBE.

Computed properties:
As for the crystal system: monoclinic. As for the formation energy from raw total energies: -1.760 eV/atom. Its total magnetization is 0.018 μB per atom.

Cell lengths 8.8137, 3.2988, 6.4749 Å; angles 90.00, 94.64, 90.00 degrees
Element x y z (fractional)
Na: 0.1323 0.2497 0.3885
Na: 0.1323 0.2503 0.8885
Na: 0.8677 0.7497 0.1115
Na: 0.8677 0.7503 0.6115
N: 0.4440 0.0637 0.4703
N: 0.4440 0.4363 0.9703
N: 0.5560 0.5637 0.0297
N: 0.5560 0.9363 0.5297
F: 0.1350 0.7495 0.6391
F: 0.1350 0.7505 0.1391
F: 0.8650 0.2495 0.8609
F: 0.8650 0.2505 0.3609

***

2.
GdPaCu4: relaxed, PBE.

Computed properties:
As for the crystal system: cubic. The calculation puts the total energy at -6.668 eV per atom. Its total magnetization is 1.294 μB per atom.

Cell lengths 5.2320, 5.2320, 5.2320 Å; angles 60.00, 60.00, 60.00 degrees
Element x y z (fractional)
Gd: 0.0000 0.0000 0.0000
Pa: 0.2500 0.2500 0.2500
Cu: 0.1249 0.6250 0.6250
Cu: 0.6250 0.1249 0.6250
Cu: 0.6250 0.6250 0.1249
Cu: 0.6250 0.6250 0.6250

***

3.
BaPuZr2O8: relaxed, PBE.

Computed properties:
As for the crystal system: monoclinic. As for the formation energy from raw total energies: -2.890 eV/atom. Its total magnetization is 0.167 μB per atom.

Cell lengths 5.3029, 5.3029, 7.6408 Å; angles 98.67, 98.67, 79.04 degrees
Element x y z (fractional)
Ba: 0.0000 0.0000 0.0000
Pu: 0.0000 0.0000 0.5000
Zr: 0.4527 0.4527 0.7843
Zr: 0.5473 0.5473 0.2157
O: 0.2200 0.7758 0.7071
O: 0.2242 0.7800 0.2929
O: 0.2372 0.2372 0.5615
O: 0.3396 0.3396 0.9948
O: 0.6604 0.6604 0.0052
O: 0.7628 0.7628 0.4385
O: 0.7758 0.2200 0.7071
O: 0.7800 0.2242 0.2929

***

4.
PmGdPdRh: relaxed, PBE.

Computed properties:
As for the crystal system: cubic. The calculation puts the total energy at -8.619 eV per atom. Its total magnetization is 1.779 μB per atom.

Cell lengths 4.9916, 4.9916, 4.9916 Å; angles 60.00, 60.00, 60.00 degrees
Element x y z (fractional)
Pm: 0.0000 0.0000 0.0000
Gd: 0.5000 0.5000 0.5000
Pd: 0.7500 0.7500 0.7500
Rh: 0.2500 0.2500 0.2500